# 1
BaSrCa2 | Alexandria via LeMat-Bulk | PBE | optimized geometry; spin magnetization = 0.000 μB/cell; volume = 201.7 Å³ per cell; calculated total energy = -1.875 eV/atom; E above lowest polymorph = 0.43 kcal/mol of atoms; formation energy from the elements = 0.1 eV per formula unit
1.0
-1.8799 -3.9584 3.9549
2.9538 -4.2547 -2.8544
4.6561 1.0456 3.2598
Ca Ba Sr
2 1 1
Cartesian
0.5370 -4.1066 0.5503
0.0000 0.0000 0.0000
3.8050 -1.6045 0.2027
1.3881 -1.4564 3.6073

***

# 2
Ba6Sr8Ca | Alexandria via LeMat-Bulk | PBE | optimized geometry; spin magnetization = 0.002 μB/cell; volume = 874.2 Å³ per cell; calculated total energy = -1.759 eV/atom; E above lowest polymorph = 0.00 kcal/mol of atoms; formation energy from the elements = 0.6 eV per formula unit
1.0
-5.7332 -7.1030 5.5845
3.5618 -3.3577 9.5156
-5.0252 3.1067 8.9221
Ba Sr Ca
6 8 1
Cartesian
-4.0387 -0.4491 6.9505
0.2049 -1.4376 7.9192
-2.4678 -4.5526 6.1649
-3.1579 -6.9049 17.0717
-7.4015 -5.9163 16.1030
-4.7288 -2.8013 17.8573
-4.7944 -6.7741 9.7316
-7.5869 -4.1073 11.6575
-1.5448 -7.0989 12.5518
-5.6518 -0.2550 11.4704
-3.0486 -3.1153 10.1763
0.3903 -3.2467 12.3647
-2.4022 -0.5798 14.2906
-4.1480 -4.2387 13.8459
0.0000 0.0000 0.0000

***

# 3
BaSr4Ca | Alexandria via LeMat-Bulk | PBE | optimized geometry; spin magnetization = 0.000 μB/cell; volume = 647.4 Å³ per cell; calculated total energy = -1.762 eV/atom; E above lowest polymorph = 0.06 kcal/mol of atoms; formation energy from the elements = 0.1 eV per formula unit
1.0
-0.6552 3.9569 1.3688
-6.6629 -5.0242 11.3344
13.6526 2.8897 -1.8185
Ba Ca Sr
2 2 8
Cartesian
3.4948 -1.0672 4.7579
6.4987 3.4233 -0.2248
0.0000 0.0000 0.0000
-3.6590 -0.5337 6.3516
-3.3213 -3.6554 9.0279
3.0267 2.1442 1.8699
3.3078 -0.3218 9.0147
-0.6264 1.5749 8.2092
6.6469 1.0180 6.8501
9.6558 5.4778 1.8567
6.9609 0.2476 2.6755
-0.3124 0.8044 4.0345

***

# 4
Ba2SrCa9 | Alexandria via LeMat-Bulk | PBE | optimized geometry; spin magnetization = 0.000 μB/cell; volume = 557.7 Å³ per cell; calculated total energy = -1.937 eV/atom; formation energy from the elements = 0.3 eV per formula unit
1.0
5.7116 0.0000 0.0000
0.0000 5.7116 0.0000
0.0000 0.0000 17.0950
Ca Ba Sr
9 2 1
Cartesian
2.8558 0.0000 2.7714
0.0000 2.8558 8.5475
2.8558 0.0000 8.5475
2.8558 2.8558 11.4339
0.0000 2.8558 2.7714
2.8558 2.8558 5.6611
2.8558 0.0000 14.3236
0.0000 2.8558 14.3236
2.8558 2.8558 0.0000
0.0000 0.0000 11.4476
0.0000 0.0000 5.6474
0.0000 0.0000 0.0000